[1]
Below is a relaxed structure of Pr6SmY3Tm2, with properties calculated at the GGA-PBE level.

Summary:
V, Å³ per atom: 33.77
ΔE_f, meV/atom: 11
Total magnetic moment, μB per formula unit: 0.00
Theoretical density, kg/m3: 6557

abc: 6.3174 6.3174 11.9123
angles: 95.06 95.06 120.00
With the nearest neighbours (Å) after each atom.
Sites, in units of the cell vectors:
Pr  0.0826  0.4166  0.7510  2 Tm 3.60, 1 Sm 3.60, 3 Y 3.62, 6 Pr 3.64-3.65
Pr  0.2494  0.2494  0.2488  2 Tm 3.60, 1 Sm 3.60, 3 Y 3.62, 6 Pr 3.64-3.65
Pr  0.4166  0.0826  0.7510  2 Tm 3.60, 1 Sm 3.60, 3 Y 3.62, 6 Pr 3.64-3.65
Pr  0.5834  0.9174  0.2490  2 Tm 3.60, 1 Sm 3.60, 3 Y 3.62, 6 Pr 3.64-3.65
Pr  0.7506  0.7506  0.7512  2 Tm 3.60, 1 Sm 3.60, 3 Y 3.62, 6 Pr 3.64-3.65
Pr  0.9174  0.5834  0.2490  2 Tm 3.60, 1 Sm 3.60, 3 Y 3.62, 6 Pr 3.64-3.65
Sm  0.5000  0.5000  0.0000  6 Pr 3.60, 6 Tm 3.65
Y  0.0000  0.0000  0.5000  6 Pr 3.62, 6 Y 3.65
Y  0.3333  0.6667  0.5000  6 Pr 3.62, 6 Y 3.65
Y  0.6667  0.3333  0.5000  6 Pr 3.62, 6 Y 3.65
Tm  0.1666  0.8334  0.0000  6 Pr 3.60, 3 Tm 3.65, 3 Sm 3.65
Tm  0.8334  0.1666  0.0000  6 Pr 3.60, 3 Tm 3.65, 3 Sm 3.65

=====

[2]
Below is a relaxed structure of BeGe2Te, with properties calculated at the GGA-PBE level.

Summary:
V, Å³ per atom: 19.57
E_form (uncorrected), meV/atom: 618
E above lowest polymorph, meV/atom: 451
Total magnetic moment, μB per formula unit: 0.00
Theoretical density, kg/m3: 5980

abc: 4.8016 4.8016 4.8016
angles: 60.00 60.00 60.00
With the nearest neighbours (Å) after each atom.
Sites, in units of the cell vectors:
Be  0.0000  0.0000  0.0000  4 Ge 2.94, 4 Te 2.94
Ge  0.5000  0.5000  0.5000  4 Ge 2.94, 4 Te 2.94
Ge  0.7500  0.7500  0.7500  4 Ge 2.94, 4 Be 2.94
Te  0.2500  0.2500  0.2500  4 Ge 2.94, 4 Be 2.94

=====

[3]
Below is a relaxed structure of TbNbGa6, with properties calculated at the GGA-PBE level.

Summary:
V, Å³ per atom: 18.28
ΔE_f, meV/atom: -298
Total magnetic moment, μB per formula unit: 0.00
Theoretical density, kg/m3: 7608

abc: 5.2782 5.2782 6.0531
angles: 90.00 90.00 119.85
With the nearest neighbours (Å) after each atom.
Sites, in units of the cell vectors:
Tb  0.0000  0.0000  0.0000  2 Nb 3.03, 12 Ga 3.11
Nb  0.0000  0.0000  0.5000  12 Ga 2.98-2.99, 2 Tb 3.03
Ga  0.0000  0.5000  0.2713  5 Ga 2.64-2.77
Ga  0.0000  0.5000  0.7287  5 Ga 2.64-2.77
Ga  0.5000  0.0000  0.2713  5 Ga 2.64-2.77
Ga  0.5000  0.0000  0.7287  5 Ga 2.64-2.77
Ga  0.5000  0.5000  0.2714  5 Ga 2.64-2.77
Ga  0.5000  0.5000  0.7286  5 Ga 2.64-2.77

=====

[4]
Below is a relaxed structure of Ta2Hg2As, with properties calculated at the GGA-PBE level.

Summary:
V, Å³ per atom: 21.70
ΔE_f, meV/atom: 727
E above lowest polymorph, meV/atom: 38
Total magnetic moment, μB per formula unit: 0.00
Theoretical density, kg/m3: 12826

abc: 7.8876 7.8876 7.8876
angles: 151.92 151.92 40.13
With the nearest neighbours (Å) after each atom.
Sites, in units of the cell vectors:
Ta  0.2500  0.7500  0.5000  4 Ta 2.71, 4 Hg 2.98
Ta  0.7500  0.2500  0.5000  4 Ta 2.71, 4 Hg 2.98
Hg  0.0962  0.0962  0.0000  1 Hg 2.85, 4 Ta 2.98, 4 As 3.06
Hg  0.9038  0.9038  0.0000  1 Hg 2.85, 4 Ta 2.98, 4 As 3.06
As  0.5000  0.5000  0.0000  8 Hg 3.06

=====

[5]
Below is a relaxed structure of ScHgP2, with properties calculated at the GGA-PBE level.

Summary:
V, Å³ per atom: 20.27
ΔE_f, meV/atom: -281
Total magnetic moment, μB per formula unit: 0.00
Theoretical density, kg/m3: 6297

abc: 6.3450 6.3450 6.3450
angles: 36.54 36.54 36.54
With the nearest neighbours (Å) after each atom.
Sites, in units of the cell vectors:
Sc  0.0000  0.0000  0.0000  6 P 2.66
Hg  0.5000  0.5000  0.5000  6 P 2.80
P  0.2574  0.2574  0.2574  3 Sc 2.66, 3 Hg 2.80
P  0.7426  0.7426  0.7426  3 Sc 2.66, 3 Hg 2.80

=====

[6]
Below is a relaxed structure of CoSi2Hg, with properties calculated at the GGA-PBE level.

Summary:
V, Å³ per atom: 15.62
E_form (uncorrected), meV/atom: 597
Total magnetic moment, μB per formula unit: 0.58
Theoretical density, kg/m3: 8391

abc: 4.4630 4.4630 3.3005
angles: 90.00 90.00 108.14
With the nearest neighbours (Å) after each atom.
Sites, in units of the cell vectors:
Co  0.0000  0.0000  0.0000  2 Hg 2.62, 8 Si 2.78
Si  0.0000  0.5000  0.5000  2 Si 2.62, 4 Hg 2.78, 4 Co 2.78
Si  0.5000  0.0000  0.5000  2 Si 2.62, 4 Hg 2.78, 4 Co 2.78
Hg  0.5000  0.5000  0.0000  2 Co 2.62, 8 Si 2.78

=====

[7]
Below is a relaxed structure of Th3B2PIr9, with properties calculated at the GGA-PBE level.

Summary:
V, Å³ per atom: 17.02
ΔE_f, meV/atom: -638
Total magnetic moment, μB per formula unit: 0.00
Theoretical density, kg/m3: 16126

abc: 5.8503 5.8503 8.6112
angles: 90.00 90.00 120.00
With the nearest neighbours (Å) after each atom.
Sites, in units of the cell vectors:
Th  0.0000  0.0000  0.0000  12 Ir 2.93-3.01
Th  0.3333  0.6667  0.6263  9 Ir 3.01-3.35
Th  0.6667  0.3333  0.3737  9 Ir 3.01-3.35
B  0.3333  0.6667  0.1532  6 Ir 2.11-2.14
B  0.6667  0.3333  0.8468  6 Ir 2.11-2.14
P  0.0000  0.0000  0.5000  6 Ir 2.42
Ir  0.0000  0.5000  0.0000  2 B 2.14
Ir  0.1621  0.3242  0.2931  1 B 2.11
Ir  0.1621  0.8379  0.2931  1 B 2.11
Ir  0.3242  0.1621  0.7069  1 B 2.11
Ir  0.5000  0.0000  0.0000  2 B 2.14
Ir  0.5000  0.5000  0.0000  2 B 2.14
Ir  0.6758  0.8379  0.2931  1 B 2.11
Ir  0.8379  0.1621  0.7069  1 B 2.11
Ir  0.8379  0.6758  0.7069  1 B 2.11

=====

[8]
Below is a relaxed structure of Ce2Ni5Ge3H2, with properties calculated at the GGA-PBE level.

Summary:
V, Å³ per atom: 13.55
E, Ry per atom: -0.402
Total magnetic moment, μB per formula unit: 1.56
Theoretical density, kg/m3: 8103

abc: 10.8753 10.8753 10.8753
angles: 159.16 159.16 29.63
With the nearest neighbours (Å) after each atom.
Sites, in units of the cell vectors:
Ce  0.1970  0.1970  0.0000  1 H 2.50
Ce  0.8030  0.8030  0.0000  1 H 2.50
Ni  0.0000  0.0000  0.0000  2 H 1.64
Ni  0.0785  0.5785  0.5000  2 H 1.97
Ni  0.4215  0.9215  0.5000  2 H 1.97
Ni  0.5785  0.0785  0.5000  2 H 1.97
Ni  0.9215  0.4215  0.5000  2 H 1.97
Ge  0.3499  0.3499  0.0000  4 Ni 2.48
Ge  0.5000  0.5000  0.0000  12 Ni 2.57-2.78
Ge  0.6501  0.6501  0.0000  4 Ni 2.48
H  0.0780  0.0780  0.0000  1 Ni 1.64
H  0.9220  0.9220  0.0000  1 Ni 1.64